PBE BeReHg2, optimized geometry; energy of formation = 0.98 eV/atom; symmetry = I-4m2 (119)
1.0
3.9502 0.0000 0.0000
0.0000 3.9502 0.0000
0.0000 0.0000 8.7187
Be Re Hg
2 2 4
direct
0.0000 0.0000 0.0000
0.5000 0.5000 0.5000
0.0000 0.5000 0.2500
0.5000 0.0000 0.7500
0.0000 0.0000 0.5000
0.0000 0.5000 0.7500
0.5000 0.0000 0.2500
0.5000 0.5000 0.0000



PBE Zr6Be15Co8, optimized geometry; energy of formation = -0.32 eV/atom; symmetry = Fm-3m (225)
1.0
0.0000 5.5000 5.5000
5.5000 0.0000 5.5000
5.5000 5.5000 0.0000
Zr Be Co
6 15 8
direct
0.2115 0.2115 0.7885
0.2115 0.7885 0.2115
0.2115 0.7885 0.7885
0.7885 0.2115 0.2115
0.7885 0.2115 0.7885
0.7885 0.7885 0.2115
0.0000 0.0000 0.5000
0.0000 0.5000 0.0000
0.0000 0.5000 0.5000
0.1791 0.1791 0.1791
0.1791 0.1791 0.4628
0.1791 0.4628 0.1791
0.4628 0.1791 0.1791
0.5000 0.0000 0.0000
0.5000 0.0000 0.5000
0.5000 0.5000 0.0000
0.5000 0.5000 0.5000
0.5372 0.8209 0.8209
0.8209 0.5372 0.8209
0.8209 0.8209 0.5372
0.8209 0.8209 0.8209
0.1255 0.6248 0.6248
0.3752 0.3752 0.3752
0.3752 0.3752 0.8745
0.3752 0.8745 0.3752
0.6248 0.1255 0.6248
0.6248 0.6248 0.1255
0.6248 0.6248 0.6248
0.8745 0.3752 0.3752



PBE Sc2AgSb, optimized geometry; symmetry = P4mm (99)
1.0
3.9585 0.0000 0.0000
0.0000 3.9585 0.0000
0.0000 0.0000 5.8889
Sc Ag Sb
2 1 1
direct
0.0000 0.0000 0.0000
0.5000 0.5000 0.3249
0.0000 0.0000 0.4985
0.5000 0.5000 0.8303



PBE GdGaHgPd, optimized geometry; energy of formation = -0.51 eV/atom; symmetry = F-43m (216)
1.0
6.9209 0.0000 0.0000
0.0000 6.9209 0.0000
0.0000 0.0000 6.9209
Gd Ga Hg Pd
4 4 4 4
direct
0.0000 0.0000 0.0000
0.0000 0.5000 0.5000
0.5000 0.0000 0.5000
0.5000 0.5000 0.0000
0.0000 0.0000 0.5000
0.0000 0.5000 0.0000
0.5000 0.0000 0.0000
0.5000 0.5000 0.5000
0.2500 0.2500 0.7500
0.2500 0.7500 0.2500
0.7500 0.2500 0.2500
0.7500 0.7500 0.7500
0.2500 0.2500 0.2500
0.2500 0.7500 0.7500
0.7500 0.2500 0.7500
0.7500 0.7500 0.2500



PBE RbNa3In, optimized geometry; energy of formation = -0.01 eV/atom; symmetry = C2/c (15); ΔE to the lowest computed polymorph = 0.00 eV per formula unit
1.0
8.6707 -6.0826 0.0000
8.6707 6.0826 0.0000
-1.7924 0.0000 7.7798
Rb Na In
4 12 4
direct
0.0311 0.9689 0.7500
0.3574 0.6426 0.2500
0.6426 0.3574 0.7500
0.9689 0.0311 0.2500
0.0170 0.3487 0.0866
0.0315 0.3608 0.5993
0.3209 0.3237 0.9066
0.3237 0.3209 0.4066
0.3487 0.0170 0.5866
0.3608 0.0315 0.0993
0.6392 0.9685 0.9007
0.6513 0.9830 0.4134
0.6763 0.6791 0.5934
0.6791 0.6763 0.0934
0.9685 0.6392 0.4007
0.9830 0.6513 0.9134
0.2377 0.5891 0.6952
0.4109 0.7623 0.8048
0.5891 0.2377 0.1952
0.7623 0.4109 0.3048



PBE LiZn2Ag, optimized geometry; energy of formation = -0.09 eV/atom; symmetry = R-3m (166)
1.0
2.8155 0.0000 0.0000
-1.4077 2.4383 0.0000
0.0000 0.0000 27.8913
Li Zn Ag
3 6 3
direct
0.0000 0.0000 0.0000
0.3333 0.6667 0.6667
0.6667 0.3333 0.3333
0.0000 0.0000 0.2517
0.0000 0.0000 0.7483
0.3333 0.6667 0.4150
0.3333 0.6667 0.9183
0.6667 0.3333 0.0817
0.6667 0.3333 0.5850
0.0000 0.0000 0.5000
0.3333 0.6667 0.1667
0.6667 0.3333 0.8333



PBE Pm12Sm2Ho5, optimized geometry; energy of formation = 0.13 eV/atom; symmetry = C2/m (12); ΔE to the lowest computed polymorph = 0.00 eV per formula unit
1.0
7.9459 -4.6573 0.0000
7.9459 4.6573 0.0000
-0.2272 0.0000 8.7215
Pm Sm Ho
12 2 5
direct
0.0619 0.0619 0.3407
0.0674 0.6775 0.3299
0.1663 0.5283 0.7623
0.3225 0.9326 0.6701
0.4144 0.4144 0.1177
0.4717 0.8337 0.2377
0.5283 0.1663 0.7623
0.5856 0.5856 0.8823
0.6775 0.0674 0.3299
0.8337 0.4717 0.2377
0.9326 0.3225 0.6701
0.9381 0.9381 0.6593
0.1733 0.8267 0.0000
0.8267 0.1733 0.0000
0.2013 0.2013 0.0232
0.2693 0.2693 0.4310
0.5000 0.5000 0.5000
0.7307 0.7307 0.5690
0.7987 0.7987 0.9768



PBE TmMgZnAg, optimized geometry; energy of formation = -0.31 eV/atom; symmetry = F-43m (216)
1.0
6.8559 0.0000 0.0000
0.0000 6.8559 0.0000
0.0000 0.0000 6.8559
Tm Mg Zn Ag
4 4 4 4
direct
0.0000 0.0000 0.0000
0.0000 0.5000 0.5000
0.5000 0.0000 0.5000
0.5000 0.5000 0.0000
0.0000 0.0000 0.5000
0.0000 0.5000 0.0000
0.5000 0.0000 0.0000
0.5000 0.5000 0.5000
0.2500 0.2500 0.7500
0.2500 0.7500 0.2500
0.7500 0.2500 0.2500
0.7500 0.7500 0.7500
0.2500 0.2500 0.2500
0.2500 0.7500 0.7500
0.7500 0.2500 0.7500
0.7500 0.7500 0.2500



PBE HgPtW2, optimized geometry; energy of formation = 0.40 eV/atom; symmetry = R-3m (166)
1.0
2.8557 0.0000 0.0000
-1.4278 2.4731 0.0000
0.0000 0.0000 28.7587
Hg Pt W
3 3 6
direct
0.0000 0.0000 0.0000
0.3333 0.6667 0.6667
0.6667 0.3333 0.3333
0.0000 0.0000 0.5000
0.3333 0.6667 0.1667
0.6667 0.3333 0.8333
0.0000 0.0000 0.2455
0.0000 0.0000 0.7545
0.3333 0.6667 0.4211
0.3333 0.6667 0.9122
0.6667 0.3333 0.0878
0.6667 0.3333 0.5789



PBE SrTbY4S8, optimized geometry; symmetry = R3m (160)
1.0
4.0875 2.3599 6.6824
-4.0875 2.3599 6.6824
0.0000 -4.7198 6.6824
Sr Tb Y S
1 1 4 8
direct
0.0000 0.0000 0.0000
0.6269 0.6269 0.6269
0.1197 0.6269 0.6269
0.2500 0.2500 0.2500
0.6269 0.1197 0.6269
0.6269 0.6269 0.1197
0.3823 0.3823 0.8522
0.3823 0.8522 0.3823
0.3827 0.3827 0.3827
0.4170 0.8614 0.8614
0.8522 0.3823 0.3823
0.8614 0.4170 0.8614
0.8614 0.8614 0.4170
0.8610 0.8610 0.8610



PBE Dy4Ho4Sc, optimized geometry; energy of formation = 0.03 eV/atom; symmetry = I4/mmm (139)
1.0
-5.2594 5.2594 2.4735
5.2594 -5.2594 2.4735
5.2594 5.2594 -2.4735
Dy Ho Sc
4 4 1
direct
0.0000 0.3310 0.3310
0.0000 0.6690 0.6690
0.3310 0.0000 0.3310
0.6690 0.0000 0.6690
0.3353 0.3353 0.6707
0.3353 0.6647 0.0000
0.6647 0.3353 0.0000
0.6647 0.6647 0.3293
0.0000 0.0000 0.0000



PBE Cs2PuHF6, optimized geometry; symmetry = Cm (8)
1.0
5.2194 -3.7024 0.0000
5.2194 3.7024 0.0000
-5.1955 0.0000 5.2286
Cs Pu H F
2 1 1 6
direct
0.0000 0.0000 0.0000
0.0013 0.0013 0.5013
0.5007 0.5007 0.2386
0.5005 0.5005 0.7426
0.0760 0.5007 0.0457
0.5003 0.5003 0.9228
0.5007 0.0760 0.0457
0.5007 0.5007 0.6002
0.5007 0.9253 0.4700
0.9253 0.5007 0.4700



| no. | VASP energy (eV/atom) | V (Å³/cell) |
| --- | --- | --- |
| 1 | -3.217 | 136 |
| 2 | -5.974 | 333 |
| 3 | -5.316 | 92 |
| 4 | -6.157 | 331 |
| 5 | -1.541 | 821 |
| 6 | -1.914 | 191 |
| 7 | -4.577 | 645 |
| 8 | -2.859 | 322 |
| 9 | -7.667 | 203 |
| 10 | -6.656 | 387 |
| 11 | -4.753 | 274 |
| 12 | -5.888 | 202 |